# 1
HoHgI3 | PBE | relaxed

a = 7.704 Å, b = 11.175 Å, c = 11.175 Å
α = 76.23°, β = 89.79°, γ = 89.79°
Element x y z (fractional)
I1 0.358 0.602 0.669
I2 0.260 0.968 0.532
I3 0.644 0.169 0.102
I4 0.144 0.102 0.169
I5 0.856 0.898 0.831
I6 0.240 0.468 0.032
I7 0.858 0.669 0.602
I8 0.642 0.398 0.331
I9 0.142 0.331 0.398
I10 0.760 0.532 0.968
I11 0.740 0.032 0.468
I12 0.356 0.831 0.898
Ho1 0.429 0.169 0.331
Ho2 0.571 0.831 0.669
Ho3 0.071 0.669 0.831
Ho4 0.929 0.331 0.169
Hg1 0.750 0.776 0.224
Hg2 0.250 0.723 0.277
Hg3 0.750 0.277 0.723
Hg4 0.250 0.224 0.776

Output
Energy relative to the elements, uncorrected = -1.034 eV/atom
Spin magnetization = 0.00 μB per formula unit
DOS(E_F) = 0.00 states/eV/f.u.

---

# 2
Ho2HgI | PBE | relaxed

a = 4.276 Å, b = 4.276 Å, c = 8.022 Å
α = 74.54°, β = 74.54°, γ = 60.00°
Element x y z (fractional)
I1 0.500 0.500 0.500
Hg1 0.000 0.000 0.000
Ho1 0.262 0.262 0.213
Ho2 0.738 0.738 0.787

Output
Energy relative to the elements, uncorrected = -0.520 eV/atom
Spin magnetization = 0.00 μB per formula unit
DOS(E_F) = 2.92 states/eV/f.u.

---

Please write out number 2 again, unchanged.
Ho2HgI | PBE | relaxed

a = 4.276 Å, b = 4.276 Å, c = 8.022 Å
α = 74.54°, β = 74.54°, γ = 60.00°
Element x y z (fractional)
I1 0.500 0.500 0.500
Hg1 0.000 0.000 0.000
Ho1 0.262 0.262 0.213
Ho2 0.738 0.738 0.787

Output
Energy relative to the elements, uncorrected = -0.520 eV/atom
Spin magnetization = 0.00 μB per formula unit
DOS(E_F) = 2.92 states/eV/f.u.